Record 1
CsNiP (GGA-PBE, relaxed); ΔE_f = -0.01 eV/atom; space-group type = No. 63; V = 223.2 Å³/cell; density of states at the Fermi level = 6.7 states/eV per cell; spin magnetization = 0.52 μB per formula unit
1.0
-5.317 4.641 -0.923
0.154 -4.212 5.735
2.660 3.551 2.536
P Cs Ni
2 2 2
direct
0.863 0.137 0.250
0.137 0.863 0.750
0.665 0.335 0.750
0.335 0.665 0.250
0.000 0.000 0.000
0.000 0.000 0.500

---

Record 2
CsNiP2 (GGA-PBE, relaxed); ΔE_f = -0.08 eV/atom; space-group type = No. 141; V = 201.6 Å³/cell; density of states at the Fermi level = 4.2 states/eV per cell; spin magnetization = 0.00 μB per formula unit
1.0
-1.526 -3.762 3.477
5.122 -1.076 1.085
1.714 2.390 7.446
Cs Ni P
2 2 4
direct
0.750 0.250 0.500
0.000 0.000 0.000
0.250 0.750 0.500
0.500 0.500 0.000
0.375 0.625 0.750
0.875 0.625 0.750
0.375 0.625 0.250
0.375 0.125 0.250

---

Q: Which value of ΔE_f does entry 2 give?
A: -0.08 eV/atom

---

Q: What is the spin magnetization in the second record?
A: 0.00 μB per formula unit

---

Q: Among the records above, which one has the highest V?
A: CsNiP